P | Compound: AgOsCl
Source: Alexandria via LeMat-Bulk
Functional: GGA-PBE
Structure: optimized geometry

Properties
SG: P-6m2 (187)
Theoretical density, g/cm3: 11.2

Unit cell a=4.5107 b=4.5107 c=2.8054 alpha=90.00 beta=90.00 gamma=120.00
Atoms (fractional coordinates):
Os 0.3333 0.6667 0.5000
Ag 0.0000 0.0000 0.0002
Cl 0.6667 0.3333 0.4997

---

Q | Compound: AgOsCl
Source: Alexandria via LeMat-Bulk
Functional: GGA-PBE
Structure: optimized geometry

Properties
SG: Fmm2 (42)
Theoretical density, g/cm3: 10.7

Unit cell a=7.4789 b=7.1460 c=2.9797 alpha=84.60 beta=72.03 gamma=23.37
Atoms (fractional coordinates):
Os 0.6778 0.6778 0.3222
Ag 0.0075 0.0075 0.9925
Cl 0.3147 0.3147 0.6853

---

Which is most stable, and by how much? Q, by 0.350 eV/atom.